A relaxed SmThHg2 crystal, computed with GGA-PBE.

Cell: 5.396 5.396 5.396 Å, 60.00 60.00 60.00°
Sites, in units of the cell vectors:
Sm 0.000 0.000 0.000
Th 0.500 0.500 0.500
Hg 0.250 0.250 0.250
Hg 0.750 0.750 0.750

Results
Energy of formation from the pure elements, eV per atom: -0.310
V, Å³ per cell: 111.08